This record from the Alexandria database describes crystalline La3Ce2PmP6 at its relaxed geometry. The functional is PBE-GGA.

Computed properties:
symmetry = C2/m (12)
total energy = -6.872 eV/atom
formation enthalpy at 0 K = -1.550 eV per atom

CIF file:
```
data_La3Ce2PmP6
_space_group_name_H-M_alt 'P 1'
_space_group_IT_number 1
_space_group_name_Hall 'P 1'
_cell_length_a 7.244
_cell_length_b 7.244
_cell_length_c 7.262
_cell_angle_alpha 99.57
_cell_angle_beta 99.57
_cell_angle_gamma 120.00
loop_
_atom_site_label
_atom_site_type_symbol
_atom_site_fract_x
_atom_site_fract_y
_atom_site_fract_z
La1 La 0.166 0.834 0.500
La2 La 0.834 0.166 0.500
La3 La 0.500 0.500 0.500
Ce1 Ce 0.333 0.667 0.000
Ce2 Ce 0.667 0.333 0.000
Pm1 Pm 0.000 0.000 0.000
P1 P 0.920 0.583 0.761
P2 P 0.742 0.742 0.239
P3 P 0.080 0.417 0.239
P4 P 0.583 0.920 0.761
P5 P 0.258 0.258 0.761
P6 P 0.417 0.080 0.239
```

***

This record from the Alexandria database describes crystalline La3CePm2P6 at its relaxed geometry. The functional is PBE-GGA.

Computed properties:
symmetry = C2/m (12)
total energy = -6.787 eV/atom
formation enthalpy at 0 K = -1.564 eV per atom

CIF file:
```
data_La3CePm2P6
_space_group_name_H-M_alt 'P 1'
_space_group_IT_number 1
_space_group_name_Hall 'P 1'
_cell_length_a 7.256
_cell_length_b 7.256
_cell_length_c 7.274
_cell_angle_alpha 99.57
_cell_angle_beta 99.57
_cell_angle_gamma 119.99
loop_
_atom_site_label
_atom_site_type_symbol
_atom_site_fract_x
_atom_site_fract_y
_atom_site_fract_z
La1 La 0.167 0.833 0.500
La2 La 0.833 0.167 0.500
La3 La 0.500 0.500 0.500
Ce1 Ce 0.000 0.000 0.000
Pm1 Pm 0.334 0.666 0.000
Pm2 Pm 0.666 0.334 0.000
P1 P 0.920 0.591 0.759
P2 P 0.752 0.752 0.241
P3 P 0.080 0.409 0.241
P4 P 0.591 0.920 0.759
P5 P 0.248 0.248 0.759
P6 P 0.409 0.080 0.241
```

***

This record from the Alexandria database describes crystalline LaCe3Pm2P6 at its relaxed geometry. The functional is PBE-GGA.

Computed properties:
symmetry = C2/m (12)
total energy = -6.927 eV/atom
formation enthalpy at 0 K = -1.536 eV per atom

CIF file:
```
data_LaCe3Pm2P6
_space_group_name_H-M_alt 'P 1'
_space_group_IT_number 1
_space_group_name_Hall 'P 1'
_cell_length_a 7.157
_cell_length_b 7.157
_cell_length_c 7.159
_cell_angle_alpha 99.60
_cell_angle_beta 99.60
_cell_angle_gamma 120.01
loop_
_atom_site_label
_atom_site_type_symbol
_atom_site_fract_x
_atom_site_fract_y
_atom_site_fract_z
La1 La 0.000 0.000 0.000
Ce1 Ce 0.166 0.834 0.500
Ce2 Ce 0.834 0.166 0.500
Ce3 Ce 0.500 0.500 0.500
Pm1 Pm 0.333 0.667 0.000
Pm2 Pm 0.667 0.333 0.000
P1 P 0.914 0.577 0.742
P2 P 0.749 0.749 0.258
P3 P 0.086 0.423 0.258
P4 P 0.577 0.914 0.742
P5 P 0.251 0.251 0.742
P6 P 0.423 0.086 0.258
```

***

This record from the Alexandria database describes crystalline LaCe2PrP4 at its relaxed geometry. The functional is PBE-GGA.

Computed properties:
symmetry = P2/m (10)
total energy = -6.927 eV/atom
formation enthalpy at 0 K = -1.525 eV per atom

CIF file:
```
data_LaCe2PrP4
_space_group_name_H-M_alt 'P 1'
_space_group_IT_number 1
_space_group_name_Hall 'P 1'
_cell_length_a 4.160
_cell_length_b 7.214
_cell_length_c 7.206
_cell_angle_alpha 70.56
_cell_angle_beta 90.00
_cell_angle_gamma 90.00
loop_
_atom_site_label
_atom_site_type_symbol
_atom_site_fract_x
_atom_site_fract_y
_atom_site_fract_z
La1 La 0.500 0.500 0.000
Ce1 Ce 0.000 0.000 0.000
Ce2 Ce 0.500 0.000 0.500
Pr1 Pr 0.000 0.500 0.500
P1 P 0.000 0.762 0.745
P2 P 0.000 0.238 0.255
P3 P 0.500 0.761 0.247
P4 P 0.500 0.239 0.753
```

***

This record from the Alexandria database describes crystalline La2CePrP4 at its relaxed geometry. The functional is PBE-GGA.

Computed properties:
symmetry = P2/m (10)
total energy = -6.818 eV/atom
formation enthalpy at 0 K = -1.542 eV per atom

CIF file:
```
data_La2CePrP4
_space_group_name_H-M_alt 'P 1'
_space_group_IT_number 1
_space_group_name_Hall 'P 1'
_cell_length_a 4.209
_cell_length_b 7.286
_cell_length_c 7.298
_cell_angle_alpha 109.38
_cell_angle_beta 90.00
_cell_angle_gamma 90.00
loop_
_atom_site_label
_atom_site_type_symbol
_atom_site_fract_x
_atom_site_fract_y
_atom_site_fract_z
La1 La 0.500 0.000 0.500
La2 La 0.000 0.500 0.500
Ce1 Ce 0.500 0.500 0.000
Pr1 Pr 0.000 0.000 0.000
P1 P 0.500 0.253 0.244
P2 P 0.500 0.747 0.756
P3 P 0.000 0.258 0.759
P4 P 0.000 0.742 0.241
```

***

This record from the Alexandria database describes crystalline LaCe2Pr3P6 at its relaxed geometry. The functional is PBE-GGA.

Computed properties:
symmetry = C2/m (12)
total energy = -6.826 eV/atom
formation enthalpy at 0 K = -1.526 eV per atom

CIF file:
```
data_LaCe2Pr3P6
_space_group_name_H-M_alt 'P 1'
_space_group_IT_number 1
_space_group_name_Hall 'P 1'
_cell_length_a 7.233
_cell_length_b 7.233
_cell_length_c 7.230
_cell_angle_alpha 99.60
_cell_angle_beta 99.60
_cell_angle_gamma 120.00
loop_
_atom_site_label
_atom_site_type_symbol
_atom_site_fract_x
_atom_site_fract_y
_atom_site_fract_z
La1 La 0.000 0.000 0.000
Ce1 Ce 0.333 0.667 0.000
Ce2 Ce 0.667 0.333 0.000
Pr1 Pr 0.165 0.835 0.500
Pr2 Pr 0.835 0.165 0.500
Pr3 Pr 0.500 0.500 0.500
P1 P 0.919 0.578 0.757
P2 P 0.740 0.740 0.243
P3 P 0.081 0.422 0.243
P4 P 0.578 0.919 0.757
P5 P 0.260 0.260 0.757
P6 P 0.422 0.081 0.243
```

***

This record from the Alexandria database describes crystalline LaCe3Pr2P6 at its relaxed geometry. The functional is PBE-GGA.

Computed properties:
symmetry = C2/m (12)
total energy = -6.918 eV/atom
formation enthalpy at 0 K = -1.522 eV per atom

CIF file:
```
data_LaCe3Pr2P6
_space_group_name_H-M_alt 'P 1'
_space_group_IT_number 1
_space_group_name_Hall 'P 1'
_cell_length_a 7.196
_cell_length_b 7.196
_cell_length_c 7.204
_cell_angle_alpha 99.58
_cell_angle_beta 99.58
_cell_angle_gamma 120.01
loop_
_atom_site_label
_atom_site_type_symbol
_atom_site_fract_x
_atom_site_fract_y
_atom_site_fract_z
La1 La 0.000 0.000 0.000
Ce1 Ce 0.167 0.833 0.500
Ce2 Ce 0.833 0.167 0.500
Ce3 Ce 0.500 0.500 0.500
Pr1 Pr 0.333 0.667 0.000
Pr2 Pr 0.667 0.333 0.000
P1 P 0.913 0.578 0.739
P2 P 0.752 0.752 0.261
P3 P 0.087 0.422 0.261
P4 P 0.578 0.913 0.739
P5 P 0.248 0.248 0.739
P6 P 0.422 0.087 0.261
```

***

This record from the Alexandria database describes crystalline La2CePr3P6 at its relaxed geometry. The functional is PBE-GGA.

Computed properties:
symmetry = C2/m (12)
total energy = -6.754 eV/atom
formation enthalpy at 0 K = -1.539 eV per atom

CIF file:
```
data_La2CePr3P6
_space_group_name_H-M_alt 'P 1'
_space_group_IT_number 1
_space_group_name_Hall 'P 1'
_cell_length_a 7.288
_cell_length_b 7.288
_cell_length_c 7.286
_cell_angle_alpha 99.60
_cell_angle_beta 99.60
_cell_angle_gamma 119.98
loop_
_atom_site_label
_atom_site_type_symbol
_atom_site_fract_x
_atom_site_fract_y
_atom_site_fract_z
La1 La 0.334 0.666 0.000
La2 La 0.666 0.334 0.000
Ce1 Ce 0.000 0.000 0.000
Pr1 Pr 0.168 0.832 0.500
Pr2 Pr 0.832 0.168 0.500
Pr3 Pr 0.500 0.500 0.500
P1 P 0.918 0.592 0.752
P2 P 0.758 0.758 0.247
P3 P 0.082 0.408 0.248
P4 P 0.592 0.918 0.752
P5 P 0.242 0.242 0.753
P6 P 0.408 0.082 0.248
```

***

This record from the Alexandria database describes crystalline La2Ce3PrP6 at its relaxed geometry. The functional is PBE-GGA.

Computed properties:
symmetry = C2/m (12)
total energy = -6.936 eV/atom
formation enthalpy at 0 K = -1.528 eV per atom

CIF file:
```
data_La2Ce3PrP6
_space_group_name_H-M_alt 'P 1'
_space_group_IT_number 1
_space_group_name_Hall 'P 1'
_cell_length_a 7.215
_cell_length_b 7.215
_cell_length_c 7.228
_cell_angle_alpha 99.58
_cell_angle_beta 99.58
_cell_angle_gamma 120.01
loop_
_atom_site_label
_atom_site_type_symbol
_atom_site_fract_x
_atom_site_fract_y
_atom_site_fract_z
La1 La 0.333 0.667 0.000
La2 La 0.667 0.333 0.000
Ce1 Ce 0.167 0.833 0.500
Ce2 Ce 0.833 0.167 0.500
Ce3 Ce 0.500 0.500 0.500
Pr1 Pr 0.000 0.000 0.000
P1 P 0.913 0.581 0.738
P2 P 0.756 0.756 0.262
P3 P 0.087 0.419 0.262
P4 P 0.581 0.913 0.738
P5 P 0.244 0.244 0.738
P6 P 0.419 0.087 0.262
```

***

This record from the Alexandria database describes crystalline La4Ce3PrP8 at its relaxed geometry. The functional is PBE-GGA.

Computed properties:
symmetry = R-3m (166)
total energy = -6.887 eV/atom
formation enthalpy at 0 K = -1.539 eV per atom

CIF file:
```
data_La4Ce3PrP8
_space_group_name_H-M_alt 'P 1'
_space_group_IT_number 1
_space_group_name_Hall 'P 1'
_cell_length_a 8.386
_cell_length_b 8.398
_cell_length_c 8.386
_cell_angle_alpha 119.95
_cell_angle_beta 120.00
_cell_angle_gamma 90.00
loop_
_atom_site_label
_atom_site_type_symbol
_atom_site_fract_x
_atom_site_fract_y
_atom_site_fract_z
La1 La 0.500 0.000 0.000
La2 La 0.500 0.000 0.500
La3 La 0.000 0.000 0.000
La4 La 0.000 0.000 0.500
Ce1 Ce 0.500 0.500 0.000
Ce2 Ce 0.500 0.500 0.500
Ce3 Ce 0.000 0.500 0.500
Pr1 Pr 0.000 0.500 0.000
P1 P 0.249 0.740 0.991
P2 P 0.249 0.740 0.498
P3 P 0.254 0.262 0.508
P4 P 0.742 0.740 0.991
P5 P 0.258 0.260 0.009
P6 P 0.746 0.738 0.492
P7 P 0.751 0.260 0.502
P8 P 0.751 0.260 0.009
```

***

Which value of total energy does entry 10 give? -6.887 eV/atom

***

The highest total energy belongs to which entry? La2CePr3P6

***

Which value of formation enthalpy at 0 K does entry 2 give? -1.564 eV per atom